Record 1
A plane-wave DFT calculation with GGA-PBE was carried out for a relaxed Na2Ga4AgPt3 crystal.

```
data_Na2Ga4AgPt3
_chemical_formula_sum 'Na2 Ga4 Ag1 Pt3'
_cell_length_a 4.2724
_cell_length_b 4.2724
_cell_length_c 10.6201
_cell_angle_alpha 90.00
_cell_angle_beta 90.00
_cell_angle_gamma 90.00
_symmetry_space_group_name_H-M 'P -4 m 2'
_symmetry_Int_Tables_number 115
_symmetry_space_group_name_Hall 'P -4 -2'
loop_
_atom_site_label
_atom_site_fract_x
_atom_site_fract_y
_atom_site_fract_z
Na1 0.0000 0.5000 0.2493
Ga1 0.0000 0.0000 0.0000
Ga2 0.0000 0.5000 0.6374
Ga3 0.5000 0.5000 0.0000
Ag1 0.0000 0.0000 0.5000
Pt1 0.0000 0.5000 0.8697
Pt2 0.5000 0.5000 0.5000
```

Record 2
A plane-wave DFT calculation with GGA-PBE was carried out for a relaxed NaGa2AgPt crystal.

```
data_NaGa2AgPt
_chemical_formula_sum 'Na1 Ga2 Ag1 Pt1'
_cell_length_a 4.7693
_cell_length_b 4.7693
_cell_length_c 5.3911
_cell_angle_alpha 90.00
_cell_angle_beta 90.00
_cell_angle_gamma 90.00
_symmetry_space_group_name_H-M 'P 4/m m m'
_symmetry_Int_Tables_number 123
_symmetry_space_group_name_Hall '-P 4 2'
loop_
_atom_site_label
_atom_site_fract_x
_atom_site_fract_y
_atom_site_fract_z
Na1 0.0000 0.0000 0.0000
Ga1 0.0000 0.5000 0.5000
Ag1 0.5000 0.5000 0.0000
Pt1 0.5000 0.5000 0.5000
```

Record 3
# RbNaGa2Ag, relaxed, DFT GGA-PBE
data_RbNaGa2Ag
_chemical_formula_sum 'Rb1 Na1 Ga2 Ag1'
_cell_length_a 5.1097
_cell_length_b 5.1097
_cell_length_c 5.7198
_cell_angle_alpha 90.00
_cell_angle_beta 90.00
_cell_angle_gamma 90.00
_symmetry_space_group_name_H-M 'P 4/m m m'
_symmetry_Int_Tables_number 123
_symmetry_space_group_name_Hall '-P 4 2'
loop_
_atom_site_label
_atom_site_fract_x
_atom_site_fract_y
_atom_site_fract_z
Rb1 0.0000 0.0000 0.0000
Na1 0.5000 0.5000 0.0000
Ga1 0.0000 0.5000 0.5000
Ag1 0.5000 0.5000 0.5000
# Relative energy among the computed polymorphs in eV per formula unit: 0.00

no.,energy relative to the elements (kJ/mol of atoms),total DFT energy (no corrections) (eV/atom),total moment (μB per formula unit)
1,-45.6,-4.04,0.00
2,-19.1,-3.45,0.00
3,8.9,-2.15,0.00